No. 1
Computed, not measured: a relaxed CaCoSi2 crystal at the GGA-PBE level of DFT.

Output
- uncorrected energy (eV per cell) = -18.895
- formation energy without anion corrections (eV per atom) = 0.26
- crystal system = cubic
- volume (Å³ per cell) = 63.47

```
4
Lattice="0.0000 3.1661 3.1661 3.1661 0.0000 3.1661 3.1661 3.1661 0.0000" Properties=species:S:1:pos:R:3 pbc="T T T"
Ca 0.0000 0.0000 0.0000
Co 1.5830 1.5830 1.5830
Si 3.1661 3.1661 3.1661
Si 4.7491 4.7491 4.7491
```

No. 2
Computed, not measured: a relaxed CaCo2Si crystal at the GGA-PBE level of DFT.

Output
- uncorrected energy (eV per cell) = -21.120
- formation energy without anion corrections (eV per atom) = 0.13
- crystal system = tetragonal
- volume (Å³ per cell) = 54.78

```
4
Lattice="4.1991 0.0000 0.0000 0.0000 4.1991 0.0000 0.0000 0.0000 3.1069" Properties=species:S:1:pos:R:3 pbc="T T T"
Ca 0.0000 0.0000 0.0000
Co 0.0000 2.0995 1.5534
Co 2.0995 0.0000 1.5534
Si 2.0995 2.0995 0.0000
```

No. 3
Computed, not measured: a relaxed CaCo2Si crystal at the GGA-PBE level of DFT.

Output
- uncorrected energy (eV per cell) = -20.340
- formation energy without anion corrections (eV per atom) = 0.32
- crystal system = monoclinic
- volume (Å³ per cell) = 57.40

```
4
Lattice="2.8533 -3.9666 0.0000 2.8533 3.9666 0.0000 -1.1487 0.0000 2.5359" Properties=species:S:1:pos:R:3 pbc="T T T"
Ca 0.0000 0.0000 0.0000
Co 0.8523 1.9833 1.2680
Co 0.8523 -1.9833 1.2680
Si 2.8533 0.0000 0.0000
```